1.
Compound: CaAcBi2
Source: the Alexandria database
Functional: PBE-GGA
Structure: optimized geometry

- DFT formation energy: -0.755 eV/atom
- Density: 7.31 g cm⁻³
- Energy relative to the lowest polymorph listed for this composition: 22.6 meV per atom
- Density of states at the Fermi level: 2.50 states/eV/f.u.

Lattice parameters (Å, degrees): 4.9026 4.9026 7.9915 72.14 72.14 60.00
Last column: nearest neighbours and their distance in Å.
Fractional coordinates of all 4 atoms:
Bi1 0.0891 0.0891 0.7326  3 Ca 3.27, 3 Ac 3.43, 1 Bi 3.51
Ac1 0.6693 0.6693 0.9922  6 Bi 3.43-3.48
Bi2 0.2458 0.2458 0.2626  3 Ca 3.39, 3 Ac 3.48, 1 Bi 3.51
Ca1 0.4958 0.4958 0.5126  6 Bi 3.27-3.39

2.
Compound: TcHgSe
Source: the Alexandria database
Functional: PBE-GGA
Structure: optimized geometry

- Energy relative to the elements, uncorrected: 10 meV/atom
- Density: 10.16 g cm⁻³
- Energy relative to the lowest polymorph listed for this composition: 0.0 meV per atom
- Density of states at the Fermi level: 0.85 states/eV/f.u.

Lattice parameters (Å, degrees): 3.2326 3.2326 6.8204 90.00 90.00 120.00
Last column: nearest neighbours and their distance in Å.
Fractional coordinates of all 3 atoms:
Tc1 0.3333 0.6667 0.6318  3 Se 2.42
Se1 0.6667 0.3333 0.4060  3 Tc 2.42
Hg1 0.0000 0.0000 0.9622  3 Tc 2.93, 6 Hg 3.23

3.
Compound: Sm2Ho6Er3Sc
Source: the Alexandria database
Functional: PBE-GGA
Structure: optimized geometry

- DFT formation energy: 0.027 eV/atom
- Density: 8.29 g cm⁻³
- Density of states at the Fermi level: 16.06 states/eV/f.u.

Lattice parameters (Å, degrees): 6.0823 6.0823 11.6640 94.98 94.98 119.97
Last column: nearest neighbours and their distance in Å.
Fractional coordinates of all 12 atoms:
Ho1 0.7529 0.7529 0.2505  6 Ho 3.48-3.53, 3 Er 3.50-3.52, 1 Sc 3.51, 2 Sm 3.53
Er1 0.5000 0.5000 0.5000  6 Ho 3.51-3.52, 6 Er 3.51-3.52
Sc1 0.0000 0.0000 0.0000  6 Ho 3.51, 6 Sm 3.51
Ho2 0.5862 0.9166 0.7497  6 Ho 3.48-3.53, 3 Er 3.51-3.53, 1 Sc 3.51, 2 Sm 3.52
Ho3 0.4138 0.0834 0.2503  6 Ho 3.48-3.53, 3 Er 3.51-3.53, 1 Sc 3.51, 2 Sm 3.52
Ho4 0.2471 0.2471 0.7495  6 Ho 3.48-3.53, 3 Er 3.50-3.52, 1 Sc 3.51, 2 Sm 3.53
Er2 0.1662 0.8338 0.5000  6 Er 3.50-3.52, 6 Ho 3.50-3.53
Sm1 0.3333 0.6667 0.0000  3 Sc 3.51, 3 Sm 3.51, 6 Ho 3.52-3.53
Ho5 0.0834 0.4138 0.2503  6 Ho 3.48-3.53, 3 Er 3.51-3.53, 1 Sc 3.51, 2 Sm 3.52
Ho6 0.9166 0.5862 0.7497  6 Ho 3.48-3.53, 3 Er 3.51-3.53, 1 Sc 3.51, 2 Sm 3.52
Er3 0.8338 0.1662 0.5000  6 Er 3.50-3.52, 6 Ho 3.50-3.53
Sm2 0.6667 0.3333 0.0000  3 Sc 3.51, 3 Sm 3.51, 6 Ho 3.52-3.53

4.
Compound: NaIrS2
Source: the Alexandria database
Functional: PBE-GGA
Structure: optimized geometry

- Energy relative to the elements, uncorrected: -449 meV/atom
- Density: 5.42 g cm⁻³
- Density of states at the Fermi level: 0.01 states/eV/f.u.

Lattice parameters (Å, degrees): 7.1168 7.1168 6.0603 54.04 54.04 90.00
Last column: nearest neighbours and their distance in Å.
Fractional coordinates of all 8 atoms:
S1 0.3750 0.2793 0.7500  2 Ir 2.25
Na1 0.2500 0.7500 0.5000  8 S 3.15-3.28, 2 Ir 3.38
Na2 0.5000 0.5000 0.0000  8 S 3.15-3.28, 2 Ir 3.38
S2 0.8750 0.9707 0.7500  2 Ir 2.25
Ir1 0.0000 0.0000 0.0000  4 S 2.25
S3 0.0293 0.6250 0.2500  2 Ir 2.25
S4 0.7207 0.1250 0.2500  2 Ir 2.25
Ir2 0.7500 0.2500 0.5000  4 S 2.25

5.
Compound: ZrOsS
Source: the Alexandria database
Functional: PBE-GGA
Structure: optimized geometry

- Energy relative to the elements, uncorrected: -577 meV/atom
- Density: 8.84 g cm⁻³
- Density of states at the Fermi level: 2.64 states/eV/f.u.

Lattice parameters (Å, degrees): 4.3161 4.3161 7.7123 73.75 73.75 60.00
Last column: nearest neighbours and their distance in Å.
Fractional coordinates of all 6 atoms:
Zr1 0.5811 0.5811 0.2568  3 S 2.61
S1 0.7169 0.7169 0.8493  1 Os 2.39, 3 Zr 2.61
Os1 0.8261 0.8261 0.5218  1 S 2.39, 3 Os 2.51
Zr2 0.4189 0.4189 0.7432  3 S 2.61
S2 0.2831 0.2831 0.1507  1 Os 2.39, 3 Zr 2.61
Os2 0.1739 0.1739 0.4782  1 S 2.39, 3 Os 2.51

6.
Compound: BiOsRh
Source: the Alexandria database
Functional: PBE-GGA
Structure: optimized geometry

- DFT formation energy: 0.732 eV/atom
- Density: 15.20 g cm⁻³
- Density of states at the Fermi level: 3.71 states/eV/f.u.

Lattice parameters (Å, degrees): 3.1190 3.1189 13.0248 90.00 90.00 120.00
Last column: nearest neighbours and their distance in Å.
Fractional coordinates of all 6 atoms:
Rh1 0.4445 0.8890 0.5000  6 Os 2.65
Bi1 0.1110 0.2219 0.1712  3 Rh 2.87, 3 Os 2.96, 6 Bi 3.12
Bi2 0.1110 0.2219 0.8288  3 Rh 2.87, 3 Os 2.96, 6 Bi 3.12
Os1 0.7778 0.5557 0.6488  3 Rh 2.65, 3 Bi 2.96
Rh2 0.4445 0.8890 0.0000  6 Bi 2.87, 6 Rh 3.12
Os2 0.7778 0.5557 0.3512  3 Rh 2.65, 3 Bi 2.96